Model 1:
Density functional theory data (GGA-PBE) for a geometry-optimized CaTcSN2 structure.

Cell lengths 3.885, 3.885, 5.133 Å; angles 90.00, 90.00, 90.00 degrees
Space group P4/mmm (No. 123)
One atom of each set of equivalent atoms:
Ca 0.000 0.000 0.000
Tc 0.500 0.500 0.500
S 0.500 0.500 0.000
N 0.000 0.500 0.500

Computed properties:
Its density of states at the Fermi level is 3.66 states/eV/cell. For the theoretical density, the calculation gives 4.25 g cm⁻³. Its size of the total moment is 0.00 Bohr magnetons per cell.


Model 2:
Density functional theory data (GGA-PBE) for a geometry-optimized CaTcSN2 structure.

Cell lengths 4.397, 4.397, 5.565 Å; angles 90.00, 90.00, 90.00 degrees
Space group P4/mmm (No. 123)
One atom of each set of equivalent atoms:
Ca 0.000 0.000 0.000
Tc 0.500 0.500 0.500
S 0.000 0.000 0.500
N 0.000 0.500 0.000

Computed properties:
Its density of states at the Fermi level is 3.47 states/eV/cell. For the theoretical density, the calculation gives 3.06 g cm⁻³. Its size of the total moment is 8.80 Bohr magnetons per cell.


Winner for stability: model 1


Model 1:
Density functional theory data (GGA-PBE) for a geometry-optimized CaTe2SN structure.

Cell lengths 5.901, 5.901, 4.398 Å; angles 90.00, 90.00, 90.00 degrees
Space group P4/mmm (No. 123)
One atom of each set of equivalent atoms:
Ca 0.000 0.000 0.000
Te 0.000 0.500 0.000
S 0.500 0.500 0.500
N 0.000 0.000 0.500

Computed properties:
Its density of states at the Fermi level is 4.59 states/eV/cell. For the theoretical density, the calculation gives 3.70 g cm⁻³. Its size of the total moment is 1.56 Bohr magnetons per cell.


Model 2:
Density functional theory data (GGA-PBE) for a geometry-optimized CaTe2SN structure.

Cell lengths 5.806, 5.806, 3.433 Å; angles 90.00, 90.00, 90.00 degrees
Space group P4/mmm (No. 123)
One atom of each set of equivalent atoms:
Ca 0.000 0.000 0.000
Te 0.000 0.500 0.500
S 0.500 0.500 0.500
N 0.500 0.500 0.000

Computed properties:
Its density of states at the Fermi level is 2.47 states/eV/cell. For the theoretical density, the calculation gives 4.90 g cm⁻³. Its size of the total moment is 0.00 Bohr magnetons per cell.


Winner for stability: model 2


Model 1:
Density functional theory data (GGA-PBE) for a geometry-optimized CaTeSN2 structure.

Cell lengths 4.497, 4.497, 5.692 Å; angles 90.00, 90.00, 90.00 degrees
Space group P4/mmm (No. 123)
One atom of each set of equivalent atoms:
Ca 0.000 0.000 0.000
Te 0.500 0.500 0.500
S 0.000 0.000 0.500
N 0.000 0.500 0.000

Computed properties:
Its density of states at the Fermi level is 3.63 states/eV/cell. For the theoretical density, the calculation gives 3.29 g cm⁻³. Its size of the total moment is 4.57 Bohr magnetons per cell.


Model 2:
Density functional theory data (GGA-PBE) for a geometry-optimized CaTeSN2 structure.

Cell lengths 4.045, 4.045, 5.338 Å; angles 90.00, 90.00, 90.00 degrees
Space group P4/mmm (No. 123)
One atom of each set of equivalent atoms:
Ca 0.000 0.000 0.000
Te 0.500 0.500 0.500
S 0.500 0.500 0.000
N 0.000 0.500 0.500

Computed properties:
Its density of states at the Fermi level is 1.70 states/eV/cell. For the theoretical density, the calculation gives 4.33 g cm⁻³. Its size of the total moment is 0.00 Bohr magnetons per cell.


Model 3:
Density functional theory data (GGA-PBE) for a geometry-optimized CaTeSN2 structure.

Cell lengths 4.122, 4.122, 5.353 Å; angles 90.00, 90.00, 90.00 degrees
Space group P4/mmm (No. 123)
One atom of each set of equivalent atoms:
Ca 0.000 0.000 0.000
Te 0.500 0.500 0.000
S 0.500 0.500 0.500
N 0.000 0.500 0.500

Computed properties:
Its density of states at the Fermi level is 2.70 states/eV/cell. For the theoretical density, the calculation gives 4.16 g cm⁻³. Its size of the total moment is 2.13 Bohr magnetons per cell.


Winner for stability: model 2


Model 1:
Density functional theory data (GGA-PBE) for a geometry-optimized CaTlS2N structure.

Cell lengths 5.418, 5.418, 4.759 Å; angles 90.00, 90.00, 90.00 degrees
Space group P4/mmm (No. 123)
One atom of each set of equivalent atoms:
Ca 0.000 0.000 0.000
Tl 0.500 0.500 0.500
S 0.000 0.500 0.000
N 0.000 0.000 0.500

Computed properties:
Its density of states at the Fermi level is 3.33 states/eV/cell. For the theoretical density, the calculation gives 3.83 g cm⁻³. Its size of the total moment is 4.03 Bohr magnetons per cell.


Model 2:
Density functional theory data (GGA-PBE) for a geometry-optimized CaTlS2N structure.

Cell lengths 5.263, 5.263, 4.292 Å; angles 90.00, 90.00, 90.00 degrees
Space group P4/mmm (No. 123)
One atom of each set of equivalent atoms:
Ca 0.000 0.000 0.000
Tl 0.500 0.500 0.500
S 0.000 0.500 0.500
N 0.500 0.500 0.000

Computed properties:
Its density of states at the Fermi level is 2.26 states/eV/cell. For the theoretical density, the calculation gives 4.51 g cm⁻³. Its size of the total moment is 1.97 Bohr magnetons per cell.


Winner for stability: model 2


Model 1:
Density functional theory data (GGA-PBE) for a geometry-optimized CaTlSN2 structure.

Cell lengths 4.316, 4.316, 5.565 Å; angles 90.00, 90.00, 90.00 degrees
Space group P4/mmm (No. 123)
One atom of each set of equivalent atoms:
Ca 0.000 0.000 0.000
Tl 0.500 0.500 0.500
S 0.500 0.500 0.000
N 0.000 0.500 0.500

Computed properties:
Its density of states at the Fermi level is 3.13 states/eV/cell. For the theoretical density, the calculation gives 4.88 g cm⁻³. Its size of the total moment is 2.55 Bohr magnetons per cell.


Model 2:
Density functional theory data (GGA-PBE) for a geometry-optimized CaTlSN2 structure.

Cell lengths 4.722, 4.722, 5.522 Å; angles 90.00, 90.00, 90.00 degrees
Space group P4/mmm (No. 123)
One atom of each set of equivalent atoms:
Ca 0.000 0.000 0.000
Tl 0.500 0.500 0.500
S 0.000 0.000 0.500
N 0.000 0.500 0.000

Computed properties:
Its density of states at the Fermi level is 2.92 states/eV/cell. For the theoretical density, the calculation gives 4.11 g cm⁻³. Its size of the total moment is 4.91 Bohr magnetons per cell.


Winner for stability: model 1


Model 1:
Density functional theory data (GGA-PBE) for a geometry-optimized CaVSN2 structure.

Cell lengths 3.832, 3.832, 4.941 Å; angles 90.00, 90.00, 90.00 degrees
Space group P4/mmm (No. 123)
One atom of each set of equivalent atoms:
Ca 0.000 0.000 0.000
V 0.500 0.500 0.500
S 0.500 0.500 0.000
N 0.000 0.500 0.500

Computed properties:
Its density of states at the Fermi level is 1.52 states/eV/cell. For the theoretical density, the calculation gives 3.46 g cm⁻³. Its size of the total moment is 0.43 Bohr magnetons per cell.


Model 2:
Density functional theory data (GGA-PBE) for a geometry-optimized CaVSN2 structure.

Cell lengths 4.351, 4.351, 5.352 Å; angles 90.00, 90.00, 90.00 degrees
Space group P4/mmm (No. 123)
One atom of each set of equivalent atoms:
Ca 0.000 0.000 0.000
V 0.500 0.500 0.500
S 0.000 0.000 0.500
N 0.000 0.500 0.000

Computed properties:
Its density of states at the Fermi level is 4.27 states/eV/cell. For the theoretical density, the calculation gives 2.48 g cm⁻³. Its size of the total moment is 1.00 Bohr magnetons per cell.


Winner for stability: model 1